No. 1
## Pm6Ge2Bi (PBE)

Data for a relaxed Pm6Ge2Bi crystal.

Calculated values
For the total energy, the calculation gives -0.3841 Ry per atom.

The structure in extended XYZ format:
```
9
Lattice="-7.292 -3.249 -2.323 5.880 1.504 -5.682 1.610 -4.040 0.597" Properties=species:S:1:pos:R:3 pbc="T T T"
Bi 0.000 0.000 0.000
Ge -2.096 -3.685 -3.145
Ge 2.294 -2.100 -4.264
Pm -4.282 -1.908 -1.364
Pm -0.583 -0.720 -3.304
Pm 3.453 0.883 -3.337
Pm -1.238 -2.930 -0.352
Pm 2.452 -1.599 -1.293
Pm -0.211 -3.276 -5.465
```

=====

No. 2
## PmGeBi (PBE)

Data for a relaxed PmGeBi crystal.

Calculated values
For the total energy, the calculation gives -0.3335 Ry per atom.

The structure in extended XYZ format:
```
3
Lattice="-4.182 -2.930 0.855 -4.020 0.215 -3.255 -1.031 -4.009 -3.109" Properties=species:S:1:pos:R:3 pbc="T T T"
Bi 0.000 0.000 0.000
Ge -2.308 -1.681 -1.377
Pm -6.925 -5.043 -4.132
```